This record from the Alexandria database describes crystalline Fe2BiPbBr at its relaxed geometry. The functional is GGA-PBE.

* E: -19.677 eV/cell
* DOS at the Fermi energy: 10.222 states/eV/f.u.
* formation energy from raw total energies: 6.5 eV/f.u.

The structure in CIF format:
```
data_Fe2BiPbBr
_symmetry_space_group_name_H-M 'P 1'
_symmetry_Int_Tables_number 1
_cell_length_a 4.478
_cell_length_b 4.478
_cell_length_c 6.050
_cell_angle_alpha 90.00
_cell_angle_beta 90.00
_cell_angle_gamma 90.00
loop_
_symmetry_equiv_pos_as_xyz
'x,y,z'
loop_
_atom_site_label
_atom_site_type_symbol
_atom_site_fract_x
_atom_site_fract_y
_atom_site_fract_z
Fe1 Fe 0.000 0.500 0.000
Fe2 Fe 0.500 0.000 0.000
Bi1 Bi 0.000 0.000 0.500
Pb1 Pb 0.500 0.500 0.500
Br1 Br 0.000 0.000 0.000
```